No. 1
The following is a PBE calculation of an optimized crystal structure of LiCaTc2, from Alexandria.

The structure in CIF format:
```
data_LiCaTc2
_cell_length_a 2.837
_cell_length_b 2.837
_cell_length_c 9.670
_cell_angle_alpha 90.00
_cell_angle_beta 90.00
_cell_angle_gamma 110.86
_symmetry_space_group_name_H-M 'P 1'
_symmetry_Int_Tables_number 1
loop_
_symmetry_equiv_pos_as_xyz
'x,y,z'
loop_
_atom_site_label
_atom_site_type_symbol
_atom_site_fract_x
_atom_site_fract_y
_atom_site_fract_z
_atom_site_occupancy
Tc1 Tc 0.500 0.500 0.220 1
Tc2 Tc 0.000 0.000 0.017 1
Ca1 Ca 0.000 0.000 0.476 1
Li1 Li 0.500 0.500 0.787 1
```

Calculated values
energy relative to the lowest polymorph listed for this composition: 0.318 eV per atom
M_tot: 0.00 μB per atom
formation energy: 0.5400 eV per atom
E: -5.622 eV per atom

=====

No. 2
The following is a PBE calculation of an optimized crystal structure of LiHfGe3, from Alexandria.

The structure in CIF format:
```
data_LiHfGe3
_cell_length_a 5.178
_cell_length_b 5.178
_cell_length_c 5.178
_cell_angle_alpha 90.00
_cell_angle_beta 90.00
_cell_angle_gamma 90.00
_symmetry_space_group_name_H-M 'P 1'
_symmetry_Int_Tables_number 1
loop_
_symmetry_equiv_pos_as_xyz
'x,y,z'
loop_
_atom_site_label
_atom_site_type_symbol
_atom_site_fract_x
_atom_site_fract_y
_atom_site_fract_z
_atom_site_occupancy
Ge1 Ge 0.000 0.000 0.500 1
Ge2 Ge 0.500 0.000 0.000 1
Ge3 Ge 0.000 0.500 0.000 1
Li1 Li 0.500 0.500 0.500 1
Hf1 Hf 0.000 0.000 0.000 1
```

Calculated values
energy relative to the lowest polymorph listed for this composition: 0.000 eV per atom
M_tot: 0.00 μB per atom
formation energy: 0.2423 eV per atom
E: -4.902 eV per atom

=====

No. 3
The following is a PBE calculation of an optimized crystal structure of MnAl2Pt, from Alexandria.

The structure in CIF format:
```
data_MnAl2Pt
_cell_length_a 8.683
_cell_length_b 8.683
_cell_length_c 8.683
_cell_angle_alpha 18.78
_cell_angle_beta 18.78
_cell_angle_gamma 18.78
_symmetry_space_group_name_H-M 'P 1'
_symmetry_Int_Tables_number 1
loop_
_symmetry_equiv_pos_as_xyz
'x,y,z'
loop_
_atom_site_label
_atom_site_type_symbol
_atom_site_fract_x
_atom_site_fract_y
_atom_site_fract_z
_atom_site_occupancy
Pt1 Pt 0.749 0.749 0.749 1
Al1 Al 0.247 0.247 0.247 1
Al2 Al 0.003 0.003 0.003 1
Mn1 Mn 0.501 0.501 0.501 1
```

Calculated values
M_tot: 0.68 μB per atom
formation energy: -0.2654 eV per atom
E: -5.939 eV per atom

=====

No. 4
The following is a PBE calculation of an optimized crystal structure of Al2BiPd2, from Alexandria.

The structure in CIF format:
```
data_Al2BiPd2
_cell_length_a 4.206
_cell_length_b 4.206
_cell_length_c 6.187
_cell_angle_alpha 70.13
_cell_angle_beta 70.13
_cell_angle_gamma 90.00
_symmetry_space_group_name_H-M 'P 1'
_symmetry_Int_Tables_number 1
loop_
_symmetry_equiv_pos_as_xyz
'x,y,z'
loop_
_atom_site_label
_atom_site_type_symbol
_atom_site_fract_x
_atom_site_fract_y
_atom_site_fract_z
_atom_site_occupancy
Pd1 Pd 0.750 0.250 0.500 1
Pd2 Pd 0.250 0.750 0.500 1
Bi1 Bi 0.000 0.000 0.000 1
Al1 Al 0.622 0.622 0.757 1
Al2 Al 0.378 0.378 0.243 1
```

Calculated values
energy relative to the lowest polymorph listed for this composition: 0.123 eV per atom
M_tot: 0.00 μB per atom
formation energy: -0.3860 eV per atom
E: -4.736 eV per atom

=====

No. 5
The following is a PBE calculation of an optimized crystal structure of Ca2Co, from Alexandria.

The structure in CIF format:
```
data_Ca2Co
_cell_length_a 14.051
_cell_length_b 14.051
_cell_length_c 14.051
_cell_angle_alpha 166.04
_cell_angle_beta 166.04
_cell_angle_gamma 19.79
_symmetry_space_group_name_H-M 'P 1'
_symmetry_Int_Tables_number 1
loop_
_symmetry_equiv_pos_as_xyz
'x,y,z'
loop_
_atom_site_label
_atom_site_type_symbol
_atom_site_fract_x
_atom_site_fract_y
_atom_site_fract_z
_atom_site_occupancy
Ca1 Ca 0.309 0.809 0.500 1
Ca2 Ca 0.441 0.441 0.000 1
Ca3 Ca 0.559 0.559 0.000 1
Ca4 Ca 0.191 0.691 0.500 1
Co1 Co 0.750 0.250 0.500 1
Co2 Co 0.000 0.000 0.000 1
```

Calculated values
M_tot: 0.00 μB per atom
formation energy: 0.2969 eV per atom
E: -3.406 eV per atom

=====

No. 6
The following is a PBE calculation of an optimized crystal structure of MgScNi2, from Alexandria.

The structure in CIF format:
```
data_MgScNi2
_cell_length_a 6.794
_cell_length_b 6.794
_cell_length_c 5.560
_cell_angle_alpha 52.34
_cell_angle_beta 52.34
_cell_angle_gamma 90.00
_symmetry_space_group_name_H-M 'P 1'
_symmetry_Int_Tables_number 1
loop_
_symmetry_equiv_pos_as_xyz
'x,y,z'
loop_
_atom_site_label
_atom_site_type_symbol
_atom_site_fract_x
_atom_site_fract_y
_atom_site_fract_z
_atom_site_occupancy
Mg1 Mg 0.250 0.750 0.500 1
Mg2 Mg 0.500 0.500 0.000 1
Ni1 Ni 0.122 0.625 0.250 1
Ni2 Ni 0.875 0.878 0.750 1
Ni3 Ni 0.628 0.125 0.250 1
Ni4 Ni 0.375 0.372 0.750 1
Sc1 Sc 0.000 0.000 0.000 1
Sc2 Sc 0.750 0.250 0.500 1
```

Calculated values
M_tot: 0.00 μB per atom
formation energy: 0.0370 eV per atom
E: -4.835 eV per atom